Entry 1:
{"formula": "PmHo2C", "functional": "PBE-GGA", "state": "optimized geometry", "sg": "R3m, No. 160", "e_above_lowest_polymorph_ev_per_atom": 0.000, "lattice": [[-2.564, -0.835, -2.349], [0.258, -1.798, 3.080], [-4.024, 7.214, 4.547]], "species": ["Ho", "Ho", "Pm", "C"], "fractional_positions": [[0.235, 0.618, 0.853], [0.763, 0.382, 0.145], [0.669, 0.834, 0.504], [0.999, 0.999, 0.998]]}

=====

Entry 2:
{"formula": "Pm2HoC", "functional": "PBE-GGA", "state": "optimized geometry", "sg": "R-3m, No. 166", "lattice": [[-2.273, -2.423, 4.854], [1.416, -5.516, 1.473], [2.664, -1.347, 4.139]], "species": ["C", "Pm", "Pm", "Ho"], "fractional_positions": [[0.000, 0.000, 0.000], [0.801, 0.801, 0.598], [0.199, 0.199, 0.402], [0.500, 0.500, 0.500]]}

=====

Entry 3:
{"formula": "PmHo2C", "functional": "PBE-GGA", "state": "optimized geometry", "sg": "R-3m, No. 166", "e_above_lowest_polymorph_ev_per_atom": 0.081, "lattice": [[-1.817, 0.676, -2.940], [0.496, -1.978, -2.871], [-7.506, -6.515, 1.033]], "species": ["C", "Ho", "Ho", "Pm"], "fractional_positions": [[0.500, 0.500, 0.500], [0.121, 0.121, 0.637], [0.879, 0.879, 0.363], [0.000, 0.000, 0.000]]}

=====

Entry 4:
{"formula": "Pm2Ho4C", "functional": "PBE-GGA", "state": "optimized geometry", "sg": "I4/mmm, No. 139", "lattice": [[-4.047, -2.041, 1.689], [2.487, -3.989, 1.139], [0.905, 0.348, 9.514]], "species": ["Ho", "Ho", "Ho", "Ho", "Pm", "Pm", "C"], "fractional_positions": [[0.000, 0.500, 0.000], [0.133, 0.133, 0.735], [0.500, 0.000, 0.000], [0.867, 0.867, 0.265], [0.676, 0.676, 0.648], [0.324, 0.324, 0.352], [0.000, 0.000, 0.000]]}

=====

Entry 5:
{"formula": "PmHo3C2", "functional": "PBE-GGA", "state": "optimized geometry", "sg": "R-3m, No. 166", "lattice": [[11.712, 3.272, 4.807], [7.804, 9.326, 4.808], [4.291, 2.769, 5.446]], "species": ["C", "C", "C", "C", "Ho", "Ho", "Ho", "Ho", "Ho", "Ho", "Pm", "Pm"], "fractional_positions": [[0.000, 0.000, 0.000], [0.000, 0.500, 0.000], [0.500, 0.000, 0.000], [0.500, 0.500, 0.000], [0.765, 0.261, 0.735], [0.261, 0.765, 0.735], [0.262, 0.262, 0.741], [0.235, 0.739, 0.265], [0.739, 0.235, 0.265], [0.738, 0.738, 0.259], [0.755, 0.755, 0.745], [0.245, 0.245, 0.255]]}

=====

Entry 6:
{"formula": "Pm3HoC", "functional": "PBE-GGA", "state": "optimized geometry", "sg": "Pm-3m, No. 221", "lattice": [[-4.820, -1.927, -0.022], [0.552, -1.324, -4.989], [1.847, -4.635, 1.434]], "species": ["Pm", "Pm", "Pm", "C", "Ho"], "fractional_positions": [[0.000, 0.500, 0.000], [0.000, 0.000, 0.500], [0.500, 0.000, 0.000], [0.000, 0.000, 0.000], [0.500, 0.500, 0.500]]}

=====

Calculated formation energy (eV per atom), listed in the same order as above: -0.19, 0.97, -0.11, 0.10, -0.25, 0.08
Calculated DOS at the Fermi energy (states/eV/f.u.), listed in the same order as above: 3.66, 4.65, 4.70, 9.37, 4.87, 6.24
Calculated total energy (eV per atom), listed in the same order as above: -5.97, -4.86, -5.89, -5.19, -6.41, -5.53